DFT (GGA-PBE) results for a geometry-optimized NdGdHo structure.

Cell lengths 3.6040, 3.6040, 8.7839 Å; angles 90.00, 90.00, 120.00 degrees
Each line ends with the local moment (μB).
Fractional coordinates of all 3 atoms:
Nd: 0.0000 0.0000 0.9972  -0.04
Ho: 0.3333 0.6667 0.6654  -0.03
Gd: 0.6667 0.3333 0.3374  7.21

Energy relative to the elements = 0.02 eV per atom
Fermi-level density of states = 4.6 states/eV/cell


DFT (GGA-PBE) results for a geometry-optimized PaNbSi2Ir structure.

Cell lengths 4.1058, 4.1058, 6.0270 Å; angles 109.91, 109.91, 90.00 degrees
Fractional coordinates of all 5 atoms:
Pa: 0.0000 0.0000 0.0000
Ir: 0.2500 0.7500 0.5000
Si: 0.6107 0.6107 0.2214
Nb: 0.7500 0.2500 0.5000
Si: 0.3893 0.3893 0.7786

Fermi-level density of states = 6.7 states/eV/cell
ΔE_f (raw) = -644 meV per atom


DFT (GGA-PBE) results for a geometry-optimized TbEr3Au2 structure.

Cell lengths 4.9351, 7.0858, 8.8868 Å; angles 90.00, 90.00, 90.00 degrees
Fractional coordinates of all 12 atoms:
Au: 0.0000 0.2567 0.6530
Er: 0.5000 0.1488 0.8309
Er: 0.0000 0.4864 0.9275
Tb: 0.5000 0.0133 0.4263
Er: 0.5000 0.6488 0.1691
Er: 0.0000 0.9864 0.0725
Au: 0.5000 0.2438 0.1496
Er: 0.0000 0.8510 0.6703
Au: 0.5000 0.7438 0.8504
Er: 0.0000 0.3510 0.3297
Au: 0.0000 0.7567 0.3470
Tb: 0.5000 0.5133 0.5737

Energy relative to the elements = -0.65 eV per atom
Fermi-level density of states = 11.8 states/eV/cell


DFT (GGA-PBE) results for a geometry-optimized RbAgI4 structure.

Cell lengths 9.3023, 8.8100, 9.7674 Å; angles 116.81, 107.04, 90.00 degrees
Fractional coordinates of all 12 atoms:
Rb: 0.2914 0.1562 0.3124
I: 0.0000 0.7744 0.0000
I: 0.5723 0.3151 0.1673
Ag: 0.8979 0.4173 0.8347
I: 0.5723 0.8522 0.1673
I: 0.4277 0.1478 0.8327
Rb: 0.7086 0.8438 0.6876
I: 0.2894 0.7406 0.4812
Ag: 0.1021 0.5827 0.1653
I: 0.0000 0.2256 0.0000
I: 0.7106 0.2594 0.5188
I: 0.4277 0.6849 0.8327

ΔE_f (raw) = -487 meV per atom


> Which formula does entry 4 have?

RbAgI4